Record 1
The following is a PBEsol calculation of a relaxed OsRh3Cl crystal, from Alexandria via LeMat-Bulk.

Cell lengths 4.6602, 4.6602, 4.6602 Å; angles 90.00, 90.00, 90.00 degrees
Last column: nearest neighbours and their distance in Å.
Fractional coordinates of all 5 atoms:
Rh (0.0000, 0.5000, 0.0000)  2 Os 2.33
Rh (0.0000, 0.0000, 0.5000)  2 Os 2.33
Rh (0.5000, 0.0000, 0.0000)  2 Os 2.33
Os (0.0000, 0.0000, 0.0000)  6 Rh 2.33
Cl (0.5000, 0.5000, 0.5000)  12 Rh 3.30

Results
The value obtained for the formation energy from raw total energies is 1.56 eV/atom. The total energy is -30.9 eV/cell. Its total moment is 0.0 μB/cell. The symmetry is Pm-3m, No. 221. For the density, the calculation gives 8.8 g/cm3.

Record 2
The following is a PBEsol calculation of a relaxed FeRhAu crystal, from Alexandria via LeMat-Bulk.

Cell lengths 2.7848, 3.5932, 4.8074 Å; angles 111.94, 106.84, 90.00 degrees
Last column: nearest neighbours and their distance in Å.
Fractional coordinates of all 3 atoms:
Au (0.9971, 0.9971, 0.9942)  5 Rh 2.69-2.75, 5 Fe 2.71-2.76, 2 Au 2.78
Rh (0.6795, 0.6795, 0.3589)  4 Fe 2.58, 5 Au 2.69-2.75, 2 Rh 2.78
Fe (0.3234, 0.3234, 0.6469)  4 Rh 2.58, 5 Au 2.71-2.76, 2 Fe 2.78

Results
The total energy is -20.7 eV/cell. The calculation puts the formation energy at 102.2 meV per atom. Its total moment is 3.5 μB/cell. The symmetry is Imm2, No. 44. Its offset from the most stable computed form is 10.2 meV/atom. For the density, the calculation gives 13.9 g/cm3.

Record 3
The following is a PBEsol calculation of a relaxed CuPRu2 crystal, from Alexandria via LeMat-Bulk.

Cell lengths 2.8186, 4.3093, 4.9473 Å; angles 115.82, 106.55, 90.00 degrees
Last column: nearest neighbours and their distance in Å.
Fractional coordinates of all 4 atoms:
Cu (0.5000, 0.0000, 0.0000)  4 P 2.57, 8 Ru 2.80-2.82, 2 Cu 2.82
P (0.0000, 0.5000, 0.0000)  4 Ru 2.27
Ru (0.7109, 0.7109, 0.4219)  2 P 2.27
Ru (0.2891, 0.2891, 0.5781)  2 P 2.27

Results
The total energy is -30.7 eV/cell. The calculation puts the formation energy at -52.5 meV per atom. Its total moment is 0.0 μB/cell. The symmetry is Immm, No. 71. For the density, the calculation gives 9.6 g/cm3.

Record 4
The following is a PBEsol calculation of a relaxed ZnNi3 crystal, from Alexandria via LeMat-Bulk.

Cell lengths 3.5322, 3.5322, 7.3974 Å; angles 103.81, 103.81, 90.00 degrees
Last column: nearest neighbours and their distance in Å.
Fractional coordinates of all 8 atoms:
Ni (0.5000, 0.0000, 0.0000)  4 Zn 2.48, 8 Ni 2.49-2.50
Ni (0.0000, 0.5000, 0.0000)  4 Zn 2.48, 8 Ni 2.49-2.50
Ni (0.2500, 0.7500, 0.5000)  8 Ni 2.47-2.50, 4 Zn 2.48
Ni (0.7500, 0.2500, 0.5000)  8 Ni 2.47-2.50, 4 Zn 2.48
Ni (0.8745, 0.8745, 0.7489)  8 Ni 2.47-2.49, 4 Zn 2.50
Ni (0.1255, 0.1255, 0.2511)  8 Ni 2.47-2.49, 4 Zn 2.50
Zn (0.6246, 0.6246, 0.2492)  12 Ni 2.48-2.50
Zn (0.3754, 0.3754, 0.7508)  12 Ni 2.48-2.50

Results
The total energy is -41.2 eV/cell. The calculation puts the formation energy at -132.2 meV per atom. Its total moment is 1.9 μB/cell. The symmetry is I4/mmm, No. 139. For the density, the calculation gives 9.2 g/cm3.